GaC | PBE | relaxed

a b c (Å): 8.0244 3.3009 5.8834
angles (deg): 90.00 127.72 90.00
Space group C2/m (No. 12)
One atom of each set of equivalent atoms:
Ga: 0.0911 0.0000 0.2671
C: 0.0695 0.5000 0.4698

Properties
* N(E_F): 2.496 states/eV/cell
* energy of formation: 0.65 eV/atom
* electronic total energy: -43.8 eV for the cell shown
* crystal system: monoclinic
* distance to the lowest polymorph of the same formula: 406.8 meV per atom